The following is a DFT calculation (PBE-GGA) of an optimized crystal structure of YVB2.

Results
- Polymorph energy (0 for the lowest one): 476 meV per atom
- Symmetry: Fm-3m, No. 225
- E_form: 0.4298 eV per atom
- Magnetic moment: 1.9 μB per formula unit
- Density of states at the Fermi level: 3.74 states/eV/f.u.

a = 4.2050 Å, b = 4.2050 Å, c = 4.2050 Å
α = 60.00°, β = 60.00°, γ = 60.00°
Closest atoms and distances in Å follow each position.
Atoms (fractional coordinates):
1 Y 0.0000 0.0000 0.0000  8 B 2.58
2 V 0.5000 0.5000 0.5000  8 B 2.58
3 B 0.2500 0.2500 0.2500  4 V 2.58, 4 Y 2.58
4 B 0.7500 0.7500 0.7500  4 V 2.58, 4 Y 2.58



The following is a DFT calculation (PBE-GGA) of an optimized crystal structure of MgAsCl6.

Results
- Symmetry: C2/m, No. 12
- Magnetic moment: 0.0 μB per formula unit
- DFT total energy: -3.071 eV/atom
- Density of states at the Fermi level: 4.23 states/eV/f.u.

a = 7.0518 Å, b = 7.0518 Å, c = 6.1739 Å
α = 98.48°, β = 98.48°, γ = 128.06°
Closest atoms and distances in Å follow each position.
Atoms (fractional coordinates):
1 Mg 0.0000 0.0000 0.0000  6 Cl 2.47-2.68
2 As 0.5000 0.5000 0.5000  6 Cl 2.37-2.43
3 Cl 0.1205 0.3862 0.2534  1 As 2.43, 1 Mg 2.47
4 Cl 0.2653 0.2653 0.7347  1 As 2.37
5 Cl 0.3862 0.1205 0.2534  1 As 2.43, 1 Mg 2.47
6 Cl 0.6138 0.8795 0.7466  1 As 2.43, 1 Mg 2.47
7 Cl 0.7347 0.7347 0.2653  1 As 2.37
8 Cl 0.8795 0.6138 0.7466  1 As 2.43, 1 Mg 2.47



The following is a DFT calculation (PBE-GGA) of an optimized crystal structure of Tl5Zn4.

Results
- Polymorph energy (0 for the lowest one): 14 meV per atom
- Symmetry: P6_3/mcm, No. 193
- E_form: 0.1805 eV per atom
- Magnetic moment: 0.0 μB per formula unit
- Density of states at the Fermi level: 3.70 states/eV/f.u.

a = 9.1340 Å, b = 9.1340 Å, c = 6.2095 Å
α = 90.00°, β = 90.00°, γ = 120.00°
Closest atoms and distances in Å follow each position.
Atoms (fractional coordinates):
1 Tl 0.0000 0.2825 0.2500  7 Zn 3.01-3.23
2 Tl 0.0000 0.7175 0.7500  7 Zn 3.01-3.23
3 Tl 0.2825 0.0000 0.2500  7 Zn 3.01-3.23
4 Tl 0.2825 0.2825 0.7500  7 Zn 3.01-3.23
5 Tl 0.3333 0.6667 0.0000  2 Tl 3.10, 6 Zn 3.25
6 Tl 0.3333 0.6667 0.5000  2 Tl 3.10, 6 Zn 3.25
7 Tl 0.6667 0.3333 0.0000  2 Tl 3.10, 6 Zn 3.25
8 Tl 0.6667 0.3333 0.5000  2 Tl 3.10, 6 Zn 3.25
9 Tl 0.7175 0.0000 0.7500  7 Zn 3.01-3.23
10 Tl 0.7175 0.7175 0.2500  7 Zn 3.01-3.23
11 Zn 0.0000 0.0000 0.0000  6 Tl 3.01, 2 Zn 3.10
12 Zn 0.0000 0.0000 0.5000  6 Tl 3.01, 2 Zn 3.10
13 Zn 0.0000 0.3808 0.7500  9 Tl 3.07-3.25
14 Zn 0.0000 0.6192 0.2500  9 Tl 3.07-3.25
15 Zn 0.3808 0.0000 0.7500  9 Tl 3.07-3.25
16 Zn 0.3808 0.3808 0.2500  9 Tl 3.07-3.25
17 Zn 0.6192 0.0000 0.2500  9 Tl 3.07-3.25
18 Zn 0.6192 0.6192 0.7500  9 Tl 3.07-3.25



The following is a DFT calculation (PBE-GGA) of an optimized crystal structure of Sc3TaZn.

Results
- Polymorph energy (0 for the lowest one): 0 meV per atom
- Symmetry: Pm-3m, No. 221
- E_form: 0.7644 eV per atom
- Magnetic moment: 0.3 μB per formula unit
- Density of states at the Fermi level: 8.02 states/eV/f.u.

a = 4.9220 Å, b = 4.9220 Å, c = 4.9220 Å
α = 90.00°, β = 90.00°, γ = 90.00°
Closest atoms and distances in Å follow each position.
Atoms (fractional coordinates):
1 Sc 0.0000 0.0000 0.5000  2 Zn 2.46
2 Sc 0.0000 0.5000 0.0000  2 Zn 2.46
3 Sc 0.5000 0.0000 0.0000  2 Zn 2.46
4 Ta 0.5000 0.5000 0.5000  12 Sc 3.48
5 Zn 0.0000 0.0000 0.0000  6 Sc 2.46



The following is a DFT calculation (PBE-GGA) of an optimized crystal structure of PuZr6Sc12.

Results
- Symmetry: R-3m, No. 166
- E_form: 0.1940 eV per atom
- Magnetic moment: 3.8 μB per formula unit
- Density of states at the Fermi level: 28.59 states/eV/f.u.

a = 8.4321 Å, b = 8.4321 Å, c = 8.4321 Å
α = 109.10°, β = 109.10°, γ = 109.10°
Closest atoms and distances in Å follow each position.
Atoms (fractional coordinates):
1 Pu 0.0000 0.0000 0.0000  6 Zr 2.95, 6 Sc 3.10
2 Zr 0.0616 0.0616 0.6960  3 Zr 2.81-3.08, 1 Pu 2.95
3 Zr 0.0616 0.6960 0.0616  3 Zr 2.81-3.08, 1 Pu 2.95
4 Zr 0.3040 0.9384 0.9384  3 Zr 2.81-3.08, 1 Pu 2.95
5 Zr 0.6960 0.0616 0.0616  3 Zr 2.81-3.08, 1 Pu 2.95
6 Zr 0.9384 0.3040 0.9384  3 Zr 2.81-3.08, 1 Pu 2.95
7 Zr 0.9384 0.9384 0.3040  3 Zr 2.81-3.08, 1 Pu 2.95
8 Sc 0.1351 0.3680 0.3680  4 Sc 3.10-3.20, 1 Pu 3.10, 3 Zr 3.19-3.22
9 Sc 0.2125 0.5000 0.7875  4 Sc 3.06-3.10, 4 Zr 3.21-3.24
10 Sc 0.2125 0.7875 0.5000  4 Sc 3.06-3.10, 4 Zr 3.21-3.24
11 Sc 0.3680 0.1351 0.3680  4 Sc 3.10-3.20, 1 Pu 3.10, 3 Zr 3.19-3.22
12 Sc 0.3680 0.3680 0.1351  4 Sc 3.10-3.20, 1 Pu 3.10, 3 Zr 3.19-3.22
13 Sc 0.5000 0.2125 0.7875  4 Sc 3.06-3.10, 4 Zr 3.21-3.24
14 Sc 0.5000 0.7875 0.2125  4 Sc 3.06-3.10, 4 Zr 3.21-3.24
15 Sc 0.6320 0.6320 0.8649  4 Sc 3.10-3.20, 1 Pu 3.10, 3 Zr 3.19-3.22
16 Sc 0.6320 0.8649 0.6320  4 Sc 3.10-3.20, 1 Pu 3.10, 3 Zr 3.19-3.22
17 Sc 0.7875 0.2125 0.5000  4 Sc 3.06-3.10, 4 Zr 3.21-3.24
18 Sc 0.7875 0.5000 0.2125  4 Sc 3.06-3.10, 4 Zr 3.21-3.24
19 Sc 0.8649 0.6320 0.6320  4 Sc 3.10-3.20, 1 Pu 3.10, 3 Zr 3.19-3.22



The following is a DFT calculation (PBE-GGA) of an optimized crystal structure of SiSn.

Results
- Symmetry: Fmmm, No. 69
- Magnetic moment: 0.0 μB per formula unit
- DFT total energy: -4.447 eV/atom
- Density of states at the Fermi level: 0.81 states/eV/f.u.

a = 6.7333 Å, b = 6.5458 Å, c = 3.8668 Å
α = 75.75°, β = 70.43°, γ = 33.82°
Closest atoms and distances in Å follow each position.
Atoms (fractional coordinates):
1 Si 0.2043 0.7957 0.2043  3 Si 2.41-2.55
2 Si 0.7957 0.2043 0.7957  3 Si 2.41-2.55
3 Sn 0.3195 0.3195 0.6805  2 Si 2.80, 2 Sn 3.01
4 Sn 0.6805 0.6805 0.3195  2 Si 2.80, 2 Sn 3.01



The following is a DFT calculation (PBE-GGA) of an optimized crystal structure of PrGa4Pt3.

Results
- Symmetry: P4/mmm, No. 123
- E_form: -0.7942 eV per atom
- Magnetic moment: 0.0 μB per formula unit
- Density of states at the Fermi level: 5.07 states/eV/f.u.

a = 4.2752 Å, b = 4.2752 Å, c = 8.4171 Å
α = 90.00°, β = 90.00°, γ = 90.00°
Closest atoms and distances in Å follow each position.
Atoms (fractional coordinates):
1 Pr 0.0000 0.0000 0.0000  8 Pt 3.31, 8 Ga 3.48
2 Ga 0.0000 0.5000 0.3256  4 Pt 2.55-2.59
3 Ga 0.0000 0.5000 0.6744  4 Pt 2.55-2.59
4 Ga 0.5000 0.0000 0.3256  4 Pt 2.55-2.59
5 Ga 0.5000 0.0000 0.6744  4 Pt 2.55-2.59
6 Pt 0.0000 0.0000 0.5000  8 Ga 2.59
7 Pt 0.5000 0.5000 0.1597  4 Ga 2.55, 1 Pt 2.69
8 Pt 0.5000 0.5000 0.8403  4 Ga 2.55, 1 Pt 2.69



The following is a DFT calculation (PBE-GGA) of an optimized crystal structure of AlCrIr2.

Results
- Symmetry: Cm, No. 8
- E_form: -0.4121 eV per atom
- Magnetic moment: 1.6 μB per formula unit
- Density of states at the Fermi level: 2.95 states/eV/f.u.

a = 4.7825 Å, b = 4.7825 Å, c = 4.4667 Å
α = 106.05°, β = 106.05°, γ = 34.65°
Closest atoms and distances in Å follow each position.
Atoms (fractional coordinates):
1 Al 0.0000 0.0000 0.0000  7 Ir 2.56-2.68, 2 Cr 2.76, 2 Al 2.85
2 Cr 0.7481 0.7481 0.3590  7 Ir 2.56-2.66, 2 Al 2.76, 2 Cr 2.85
3 Ir 0.2570 0.2570 0.8678  3 Al 2.56-2.58, 4 Cr 2.64-2.66, 2 Ir 2.85
4 Ir 0.4910 0.4910 0.4879  3 Cr 2.56-2.57, 4 Al 2.62-2.68, 2 Ir 2.85